Entry 1:
# BeAgO3

BeAgO3 after structural relaxation (PBE-GGA, Alexandria).

The space group is Pm-3m (No. 221) and the conventional cell measures 3.518, 3.518 and 3.518 Å, with angles of 90.00, 90.00 and 90.00 degrees. The asymmetric unit holds Be at (0.000, 0.000, 0.000), Ag at (0.500, 0.500, 0.500) and O at (0.000, 0.000, 0.500).

The value obtained for the uncorrected energy is -4.64 eV per atom. The calculation puts the raw formation energy at -0.350 eV/atom.

---

Entry 2:
# BeTlTe2I

BeTlTe2I after structural relaxation (PBE-GGA, Alexandria).

The space group is P4/mmm (No. 123) and the conventional cell measures 5.833, 5.833 and 6.020 Å, with angles of 90.00, 90.00 and 90.00 degrees. The asymmetric unit holds Be at (0.000, 0.000, 0.000), Tl at (0.500, 0.500, 0.500), Te at (0.000, 0.500, 0.500) and I at (0.500, 0.500, 0.000).

The value obtained for the uncorrected energy is -1.79 eV per atom. The value obtained for the polymorph energy (0 for the lowest one) is 91.9 kJ per mole of atoms. The calculation puts the raw formation energy at 0.999 eV/atom.

---

Entry 3:
# NbPdS

NbPdS after structural relaxation (PBE-GGA, Alexandria).

The space group is C2/m (No. 12) and the conventional cell measures 9.019, 3.163 and 7.127 Å, with angles of 90.00, 113.52 and 90.00 degrees. The asymmetric unit holds Nb at (0.007, 0.000, 0.288), Pd at (0.160, 0.500, 0.074) and S at (0.171, 0.500, 0.614).

The value obtained for the uncorrected energy is -7.02 eV per atom. The value obtained for the polymorph energy (0 for the lowest one) is 0.8 kJ per mole of atoms. The calculation puts the raw formation energy at -0.555 eV/atom.

---

Entry 4:
# PrDyTmCd

PrDyTmCd after structural relaxation (PBE-GGA, Alexandria).

The space group is F-43m (No. 216) and the conventional cell measures 7.774, 7.774 and 7.774 Å, with angles of 90.00, 90.00 and 90.00 degrees. The asymmetric unit holds Pr at (0.000, 0.000, 0.000), Dy at (0.000, 0.000, 0.500), Tm at (0.250, 0.250, 0.750) and Cd at (0.250, 0.250, 0.250).

Its formation enthalpy at 0 K is -0.2 eV/f.u. The value obtained for the uncorrected energy is -3.73 eV per atom. The value obtained for the polymorph energy (0 for the lowest one) is 10.6 kJ per mole of atoms.